Entry 1:
Computed, not measured: a relaxed structure of KBaPtAu at the PBE-GGA level of DFT.

Values from the calculation:
**E_form**: -0.404 eV/atom
**Space-group type**: F-43m
**Energy**: -3.488 eV per atom

Cell: 5.5072 5.5072 5.5072 Å, 60.00 60.00 60.00°
Atoms (fractional coordinates):
K 0.0000 0.0000 0.0000
Ba 0.5000 0.5000 0.5000
Pt 0.7500 0.7500 0.7500
Au 0.2500 0.2500 0.2500

***

Entry 2:
Computed, not measured: a relaxed structure of KBa2PtAu at the PBE-GGA level of DFT.

Values from the calculation:
**E_form**: -0.261 eV/atom
**Space-group type**: P4/mmm
**Energy**: -3.113 eV per atom

Cell: 6.0561 6.0561 6.0148 Å, 90.00 90.00 90.00°
Atoms (fractional coordinates):
K 0.0000 0.0000 0.0000
Ba 0.0000 0.5000 0.5000
Ba 0.5000 0.0000 0.5000
Pt 0.0000 0.0000 0.5000
Au 0.5000 0.5000 0.0000

***

Entry 3:
Computed, not measured: a relaxed structure of K2RbBaAu at the PBE-GGA level of DFT.

Values from the calculation:
**E_form**: -0.152 eV/atom
**Space-group type**: P4/mmm
**Energy**: -1.824 eV per atom

Cell: 6.7849 6.7849 6.4548 Å, 90.00 90.00 90.00°
Atoms (fractional coordinates):
K 0.0000 0.5000 0.0000
K 0.5000 0.0000 0.0000
Rb 0.0000 0.0000 0.5000
Ba 0.5000 0.5000 0.5000
Au 0.5000 0.5000 0.0000